[1]
Compound: RbNiAsPb
Source: Alexandria via LeMat-Bulk
Functional: PBE-GGA
Structure: relaxed

a b c (Å): 4.322 4.322 13.036
angles (deg): 90.00 90.00 90.00
Space group P4/nmm (No. 129, origin choice 2)
Asymmetric unit:
1 Rb 0.250 0.250 0.230
2 Ni 0.250 0.750 0.000
3 As 0.250 0.250 0.924
4 Pb 0.250 0.750 0.500

The formation energy is -196.3 meV/atom. The total energy comes out at -3.973 eV/atom. As for the density: 5.81 g cm⁻³.

=====

[2]
Compound: Sr6GaHg
Source: Alexandria via LeMat-Bulk
Functional: PBE-GGA
Structure: relaxed

a b c (Å): 5.745 5.745 20.581
angles (deg): 90.00 90.00 90.00
Space group I4/mmm (No. 139)
Asymmetric unit:
1 Sr 0.000 0.000 0.248
2 Sr 0.000 0.500 0.091
3 Ga 0.000 0.000 0.000
4 Hg 0.000 0.000 0.500

The formation energy is -235.8 meV/atom. The total energy comes out at -1.913 eV/atom. As for the density: 3.89 g cm⁻³.

=====

[3]
Compound: CaOsRu
Source: Alexandria via LeMat-Bulk
Functional: PBE-GGA
Structure: relaxed

a b c (Å): 4.415 10.533 5.175
angles (deg): 90.00 90.00 90.00
Space group Cmcm (No. 63)
Asymmetric unit:
1 Ca 0.000 0.224 0.250
2 Os 0.000 0.500 0.000
3 Ru 0.000 0.041 0.750

The formation energy is 145.0 meV/atom. The relative energy among the computed polymorphs is 55 meV/atom. The total energy comes out at -7.357 eV/atom. As for the density: 9.15 g cm⁻³.

=====

[4]
Compound: GeSb2Br8
Source: Alexandria via LeMat-Bulk
Functional: PBE-GGA
Structure: relaxed

a b c (Å): 14.164 7.782 8.681
angles (deg): 90.00 95.15 90.00
Space group C2/m (No. 12)
Asymmetric unit:
1 Ge 0.000 0.000 0.000
2 Sb 0.138 0.000 0.367
3 Br 0.079 0.000 0.721
4 Br 0.133 0.240 0.151
5 Br 0.180 0.500 0.577

The formation energy without anion corrections comes out at -0.53 eV per atom. The relative energy among the computed polymorphs is 0 meV/atom. The total energy comes out at -2.916 eV/atom. As for the density: 3.33 g cm⁻³.

=====

[5]
Compound: Li6Sn2B4SO16
Source: Alexandria via LeMat-Bulk
Functional: PBE-GGA
Structure: relaxed

a b c (Å): 13.537 13.537 13.537
angles (deg): 90.00 90.00 90.00
Space group Fd-3 (No. 203, origin choice 2)
Asymmetric unit:
1 Li 0.092 0.375 0.375
2 Sn 0.000 0.000 0.500
3 B 0.028 0.028 0.722
4 S 0.125 0.125 0.125
5 O 0.023 0.103 0.791
6 O 0.061 0.061 0.061

The formation energy without anion corrections comes out at -2.06 eV per atom. The total energy comes out at -6.530 eV/atom. As for the density: 3.27 g cm⁻³.

=====

[6]
Compound: SrAuN3
Source: Alexandria via LeMat-Bulk
Functional: PBE-GGA
Structure: relaxed

a b c (Å): 4.476 4.476 4.476
angles (deg): 90.00 90.00 90.00
Space group Pm-3m (No. 221)
Asymmetric unit:
1 Sr 0.000 0.000 0.000
2 Au 0.500 0.500 0.500
3 N 0.000 0.000 0.500

The formation energy without anion corrections comes out at 2.74 eV per atom. The total energy comes out at -3.242 eV/atom. As for the density: 6.05 g cm⁻³.

=====

[7]
Compound: YCo2ReBr
Source: Alexandria via LeMat-Bulk
Functional: PBE-GGA
Structure: relaxed

a b c (Å): 4.452 4.452 5.730
angles (deg): 90.00 90.00 90.00
Space group P4/mmm (No. 123)
Asymmetric unit:
1 Y 0.000 0.000 0.000
2 Co 0.000 0.500 0.500
3 Re 0.000 0.000 0.500
4 Br 0.500 0.500 0.000

The formation energy without anion corrections comes out at 0.78 eV per atom. The total energy comes out at -6.175 eV/atom. As for the density: 6.91 g cm⁻³.

=====

[8]
Compound: Sr2CaAs
Source: Alexandria via LeMat-Bulk
Functional: PBE-GGA
Structure: relaxed

a b c (Å): 5.527 5.539 9.957
angles (deg): 90.00 90.00 90.00
Space group Cmm2 (No. 35)
Asymmetric unit:
1 Sr 0.000 0.000 0.000
2 Sr 0.000 0.500 0.356
3 Ca 0.000 0.000 0.680
4 As 0.000 0.500 0.821

The formation energy is -522.4 meV/atom. The total energy comes out at -3.026 eV/atom. As for the density: 3.16 g cm⁻³.

=====

Question: Among the records above, which one has the lowest density?
Answer: Sr2CaAs

=====

Question: Among the records above, which one has the highest density?
Answer: CaOsRu